No. 1
The following is a PBE-GGA calculation of an optimized crystal structure of CdFeOs3, from Alexandria.

Output
DOS at the Fermi energy = 4.77 states/eV per cell
energy = -6.958 eV per atom
SG = No. 221

Cell and atoms, written as CIF:
```
data_CdFeOs3
_chemical_formula_sum 'Cd1 Fe1 Os3'
_cell_length_a 4.451
_cell_length_b 4.451
_cell_length_c 4.451
_cell_angle_alpha 90.00
_cell_angle_beta 90.00
_cell_angle_gamma 90.00
_symmetry_space_group_name_H-M 'P 1'
_symmetry_Int_Tables_number 1
loop_
_symmetry_equiv_pos_as_xyz
'x,y,z'
loop_
_atom_site_label
_atom_site_type_symbol
_atom_site_fract_x
_atom_site_fract_y
_atom_site_fract_z
Cd1 Cd 0.000 0.000 0.000
Fe1 Fe 0.500 0.500 0.500
Os1 Os 0.000 0.500 0.500
Os2 Os 0.500 0.000 0.500
Os3 Os 0.500 0.500 0.000
```

No. 2
The following is a PBE-GGA calculation of an optimized crystal structure of Rb3Ho3SnSe8, from Alexandria.

Output
energy relative to the elements, uncorrected = -1.445 eV/atom
DOS at the Fermi energy = 1.56 states/eV per cell
SG = No. 166

Cell and atoms, written as CIF:
```
data_Rb3Ho3SnSe8
_chemical_formula_sum 'Rb3 Ho3 Sn1 Se8'
_cell_length_a 9.484
_cell_length_b 9.484
_cell_length_c 9.484
_cell_angle_alpha 51.86
_cell_angle_beta 51.86
_cell_angle_gamma 51.86
_symmetry_space_group_name_H-M 'P 1'
_symmetry_Int_Tables_number 1
loop_
_symmetry_equiv_pos_as_xyz
'x,y,z'
loop_
_atom_site_label
_atom_site_type_symbol
_atom_site_fract_x
_atom_site_fract_y
_atom_site_fract_z
Rb1 Rb 0.000 0.500 0.500
Rb2 Rb 0.500 0.000 0.500
Rb3 Rb 0.500 0.500 0.000
Ho1 Ho 0.000 0.000 0.500
Ho2 Ho 0.000 0.500 0.000
Ho3 Ho 0.500 0.000 0.000
Sn1 Sn 0.500 0.500 0.500
Se1 Se 0.231 0.231 0.231
Se2 Se 0.240 0.725 0.725
Se3 Se 0.275 0.275 0.760
Se4 Se 0.275 0.760 0.275
Se5 Se 0.725 0.240 0.725
Se6 Se 0.725 0.725 0.240
Se7 Se 0.760 0.275 0.275
Se8 Se 0.769 0.769 0.769
```

No. 3
The following is a PBE-GGA calculation of an optimized crystal structure of Zr2Pa7, from Alexandria.

Output
DOS at the Fermi energy = 16.95 states/eV per cell
energy = -9.222 eV per atom
SG = No. 162

Cell and atoms, written as CIF:
```
data_Zr2Pa7
_chemical_formula_sum 'Zr2 Pa7'
_cell_length_a 5.658
_cell_length_b 5.658
_cell_length_c 8.047
_cell_angle_alpha 90.00
_cell_angle_beta 90.00
_cell_angle_gamma 120.00
_symmetry_space_group_name_H-M 'P 1'
_symmetry_Int_Tables_number 1
loop_
_symmetry_equiv_pos_as_xyz
'x,y,z'
loop_
_atom_site_label
_atom_site_type_symbol
_atom_site_fract_x
_atom_site_fract_y
_atom_site_fract_z
Zr1 Zr 0.333 0.667 0.000
Zr2 Zr 0.667 0.333 0.000
Pa1 Pa 0.000 0.000 0.000
Pa2 Pa 0.000 0.335 0.669
Pa3 Pa 0.000 0.665 0.331
Pa4 Pa 0.335 0.000 0.669
Pa5 Pa 0.335 0.335 0.331
Pa6 Pa 0.665 0.000 0.331
Pa7 Pa 0.665 0.665 0.669
```

No. 4
The following is a PBE-GGA calculation of an optimized crystal structure of Ce5Zr12Sb3, from Alexandria.

Output
energy relative to the elements, uncorrected = 0.735 eV/atom
DOS at the Fermi energy = 163.10 states/eV per cell
SG = No. 230

Cell and atoms, written as CIF:
```
data_Ce5Zr12Sb3
_chemical_formula_sum 'Ce20 Zr48 Sb12'
_cell_length_a 14.420
_cell_length_b 14.420
_cell_length_c 14.420
_cell_angle_alpha 109.47
_cell_angle_beta 109.47
_cell_angle_gamma 109.47
_symmetry_space_group_name_H-M 'P 1'
_symmetry_Int_Tables_number 1
loop_
_symmetry_equiv_pos_as_xyz
'x,y,z'
loop_
_atom_site_label
_atom_site_type_symbol
_atom_site_fract_x
_atom_site_fract_y
_atom_site_fract_z
Ce1 Ce 0.000 0.000 0.000
Ce2 Ce 0.000 0.000 0.500
Ce3 Ce 0.000 0.500 0.000
Ce4 Ce 0.000 0.500 0.500
Ce5 Ce 0.125 0.750 0.875
Ce6 Ce 0.125 0.875 0.250
Ce7 Ce 0.250 0.125 0.875
Ce8 Ce 0.250 0.625 0.375
Ce9 Ce 0.375 0.250 0.625
Ce10 Ce 0.375 0.625 0.750
Ce11 Ce 0.500 0.000 0.000
Ce12 Ce 0.500 0.000 0.500
Ce13 Ce 0.500 0.500 0.000
Ce14 Ce 0.500 0.500 0.500
Ce15 Ce 0.625 0.375 0.250
Ce16 Ce 0.625 0.750 0.375
Ce17 Ce 0.750 0.375 0.625
Ce18 Ce 0.750 0.875 0.125
Ce19 Ce 0.875 0.125 0.750
Ce20 Ce 0.875 0.250 0.125
Zr1 Zr 0.071 0.228 0.147
Zr2 Zr 0.071 0.344 0.924
Zr3 Zr 0.076 0.647 0.420
Zr4 Zr 0.076 0.929 0.656
Zr5 Zr 0.080 0.728 0.656
Zr6 Zr 0.080 0.853 0.424
Zr7 Zr 0.147 0.071 0.228
Zr8 Zr 0.147 0.576 0.920
Zr9 Zr 0.156 0.228 0.580
Zr10 Zr 0.156 0.429 0.576
Zr11 Zr 0.228 0.147 0.071
Zr12 Zr 0.228 0.580 0.156
Zr13 Zr 0.272 0.344 0.920
Zr14 Zr 0.272 0.429 0.353
Zr15 Zr 0.344 0.920 0.272
Zr16 Zr 0.344 0.924 0.071
Zr17 Zr 0.353 0.272 0.429
Zr18 Zr 0.353 0.580 0.924
Zr19 Zr 0.420 0.076 0.647
Zr20 Zr 0.420 0.844 0.772
Zr21 Zr 0.424 0.080 0.853
Zr22 Zr 0.424 0.844 0.571
Zr23 Zr 0.429 0.353 0.272
Zr24 Zr 0.429 0.576 0.156
Zr25 Zr 0.571 0.424 0.844
Zr26 Zr 0.571 0.647 0.728
Zr27 Zr 0.576 0.156 0.429
Zr28 Zr 0.576 0.920 0.147
Zr29 Zr 0.580 0.156 0.228
Zr30 Zr 0.580 0.924 0.353
Zr31 Zr 0.647 0.420 0.076
Zr32 Zr 0.647 0.728 0.571
Zr33 Zr 0.656 0.076 0.929
Zr34 Zr 0.656 0.080 0.728
Zr35 Zr 0.728 0.571 0.647
Zr36 Zr 0.728 0.656 0.080
Zr37 Zr 0.772 0.420 0.844
Zr38 Zr 0.772 0.853 0.929
Zr39 Zr 0.844 0.571 0.424
Zr40 Zr 0.844 0.772 0.420
Zr41 Zr 0.853 0.424 0.080
Zr42 Zr 0.853 0.929 0.772
Zr43 Zr 0.920 0.147 0.576
Zr44 Zr 0.920 0.272 0.344
Zr45 Zr 0.924 0.071 0.344
Zr46 Zr 0.924 0.353 0.580
Zr47 Zr 0.929 0.656 0.076
Zr48 Zr 0.929 0.772 0.853
Sb1 Sb 0.125 0.250 0.375
Sb2 Sb 0.125 0.375 0.750
Sb3 Sb 0.250 0.375 0.125
Sb4 Sb 0.250 0.875 0.625
Sb5 Sb 0.375 0.125 0.250
Sb6 Sb 0.375 0.750 0.125
Sb7 Sb 0.625 0.250 0.875
Sb8 Sb 0.625 0.875 0.750
Sb9 Sb 0.750 0.125 0.375
Sb10 Sb 0.750 0.625 0.875
Sb11 Sb 0.875 0.625 0.250
Sb12 Sb 0.875 0.750 0.625
```

No. 5
The following is a PBE-GGA calculation of an optimized crystal structure of Ba3SnPb, from Alexandria.

Output
offset from the most stable computed form = 371 meV per atom
DOS at the Fermi energy = 9.32 states/eV per cell
SG = No. 221

Cell and atoms, written as CIF:
```
data_Ba3SnPb
_chemical_formula_sum 'Ba3 Sn1 Pb1'
_cell_length_a 6.614
_cell_length_b 6.614
_cell_length_c 6.614
_cell_angle_alpha 90.00
_cell_angle_beta 90.00
_cell_angle_gamma 90.00
_symmetry_space_group_name_H-M 'P 1'
_symmetry_Int_Tables_number 1
loop_
_symmetry_equiv_pos_as_xyz
'x,y,z'
loop_
_atom_site_label
_atom_site_type_symbol
_atom_site_fract_x
_atom_site_fract_y
_atom_site_fract_z
Ba1 Ba 0.000 0.000 0.500
Ba2 Ba 0.000 0.500 0.000
Ba3 Ba 0.500 0.000 0.000
Sn1 Sn 0.000 0.000 0.000
Pb1 Pb 0.500 0.500 0.500
```

No. 6
The following is a PBE-GGA calculation of an optimized crystal structure of Tb2Pm3Sc4, from Alexandria.

Output
offset from the most stable computed form = 0 meV per atom
DOS at the Fermi energy = 29.68 states/eV per cell
SG = No. 2

Cell and atoms, written as CIF:
```
data_Tb2Pm3Sc4
_chemical_formula_sum 'Tb4 Pm6 Sc8'
_cell_length_a 6.607
_cell_length_b 8.382
_cell_length_c 10.293
_cell_angle_alpha 78.61
_cell_angle_beta 75.12
_cell_angle_gamma 76.43
_symmetry_space_group_name_H-M 'P 1'
_symmetry_Int_Tables_number 1
loop_
_symmetry_equiv_pos_as_xyz
'x,y,z'
loop_
_atom_site_label
_atom_site_type_symbol
_atom_site_fract_x
_atom_site_fract_y
_atom_site_fract_z
Tb1 Tb 0.088 0.167 0.124
Tb2 Tb 0.386 0.834 0.632
Tb3 Tb 0.614 0.166 0.368
Tb4 Tb 0.912 0.833 0.876
Pm1 Pm 0.235 0.479 0.550
Pm2 Pm 0.382 0.829 0.296
Pm3 Pm 0.383 0.815 0.969
Pm4 Pm 0.617 0.185 0.031
Pm5 Pm 0.618 0.171 0.704
Pm6 Pm 0.765 0.521 0.450
Sc1 Sc 0.087 0.168 0.790
Sc2 Sc 0.088 0.161 0.459
Sc3 Sc 0.235 0.478 0.884
Sc4 Sc 0.238 0.478 0.211
Sc5 Sc 0.762 0.522 0.789
Sc6 Sc 0.765 0.522 0.116
Sc7 Sc 0.912 0.839 0.541
Sc8 Sc 0.913 0.832 0.210
```

No. 7
The following is a PBE-GGA calculation of an optimized crystal structure of KLiFe2Br8, from Alexandria.

Output
energy relative to the elements, uncorrected = -0.870 eV/atom
SG = No. 147

Cell and atoms, written as CIF:
```
data_KLiFe2Br8
_chemical_formula_sum 'K1 Li1 Fe2 Br8'
_cell_length_a 6.853
_cell_length_b 6.853
_cell_length_c 9.691
_cell_angle_alpha 90.00
_cell_angle_beta 90.00
_cell_angle_gamma 120.00
_symmetry_space_group_name_H-M 'P 1'
_symmetry_Int_Tables_number 1
loop_
_symmetry_equiv_pos_as_xyz
'x,y,z'
loop_
_atom_site_label
_atom_site_type_symbol
_atom_site_fract_x
_atom_site_fract_y
_atom_site_fract_z
K1 K 0.000 0.000 0.000
Li1 Li 0.000 0.000 0.500
Fe1 Fe 0.333 0.667 0.747
Fe2 Fe 0.667 0.333 0.253
Br1 Br 0.014 0.329 0.674
Br2 Br 0.315 0.986 0.674
Br3 Br 0.329 0.315 0.326
Br4 Br 0.333 0.667 0.989
Br5 Br 0.667 0.333 0.011
Br6 Br 0.671 0.685 0.674
Br7 Br 0.685 0.014 0.326
Br8 Br 0.986 0.671 0.326
```

No. 8
The following is a PBE-GGA calculation of an optimized crystal structure of CaNd5Sb6, from Alexandria.

Output
energy relative to the elements, uncorrected = -1.114 eV/atom
DOS at the Fermi energy = 4.67 states/eV per cell
SG = No. 12

Cell and atoms, written as CIF:
```
data_CaNd5Sb6
_chemical_formula_sum 'Ca1 Nd5 Sb6'
_cell_length_a 7.849
_cell_length_b 7.849
_cell_length_c 7.844
_cell_angle_alpha 99.61
_cell_angle_beta 99.61
_cell_angle_gamma 120.05
_symmetry_space_group_name_H-M 'P 1'
_symmetry_Int_Tables_number 1
loop_
_symmetry_equiv_pos_as_xyz
'x,y,z'
loop_
_atom_site_label
_atom_site_type_symbol
_atom_site_fract_x
_atom_site_fract_y
_atom_site_fract_z
Ca1 Ca 0.000 0.000 0.000
Nd1 Nd 0.166 0.834 0.500
Nd2 Nd 0.333 0.667 0.000
Nd3 Nd 0.500 0.500 0.500
Nd4 Nd 0.667 0.333 0.000
Nd5 Nd 0.834 0.166 0.500
Sb1 Sb 0.084 0.419 0.250
Sb2 Sb 0.252 0.252 0.749
Sb3 Sb 0.419 0.084 0.250
Sb4 Sb 0.581 0.916 0.750
Sb5 Sb 0.748 0.748 0.251
Sb6 Sb 0.916 0.581 0.750
```

No. 9
The following is a PBE-GGA calculation of an optimized crystal structure of Li3In3Ir, from Alexandria.

Output
DOS at the Fermi energy = 5.82 states/eV per cell
energy = -3.464 eV per atom
SG = No. 65

Cell and atoms, written as CIF:
```
data_Li3In3Ir
_chemical_formula_sum 'Li6 In6 Ir2'
_cell_length_a 6.664
_cell_length_b 6.664
_cell_length_c 6.167
_cell_angle_alpha 90.00
_cell_angle_beta 90.00
_cell_angle_gamma 93.03
_symmetry_space_group_name_H-M 'P 1'
_symmetry_Int_Tables_number 1
loop_
_symmetry_equiv_pos_as_xyz
'x,y,z'
loop_
_atom_site_label
_atom_site_type_symbol
_atom_site_fract_x
_atom_site_fract_y
_atom_site_fract_z
Li1 Li 0.146 0.146 0.500
Li2 Li 0.198 0.198 0.000
Li3 Li 0.245 0.755 0.000
Li4 Li 0.755 0.245 0.000
Li5 Li 0.802 0.802 0.000
Li6 Li 0.854 0.854 0.500
In1 In 0.000 0.500 0.254
In2 In 0.000 0.500 0.746
In3 In 0.500 0.000 0.254
In4 In 0.500 0.000 0.746
In5 In 0.500 0.500 0.247
In6 In 0.500 0.500 0.753
Ir1 Ir 0.264 0.736 0.500
Ir2 Ir 0.736 0.264 0.500
```

No. 10
The following is a PBE-GGA calculation of an optimized crystal structure of La2Pm5Sm, from Alexandria.

Output
offset from the most stable computed form = 24 meV per atom
DOS at the Fermi energy = 25.62 states/eV per cell
SG = No. 15

Cell and atoms, written as CIF:
```
data_La2Pm5Sm
_chemical_formula_sum 'La4 Pm10 Sm2'
_cell_length_a 9.714
_cell_length_b 9.714
_cell_length_c 6.721
_cell_angle_alpha 97.67
_cell_angle_beta 97.67
_cell_angle_gamma 63.37
_symmetry_space_group_name_H-M 'P 1'
_symmetry_Int_Tables_number 1
loop_
_symmetry_equiv_pos_as_xyz
'x,y,z'
loop_
_atom_site_label
_atom_site_type_symbol
_atom_site_fract_x
_atom_site_fract_y
_atom_site_fract_z
La1 La 0.175 0.675 0.893
La2 La 0.325 0.825 0.607
La3 La 0.675 0.175 0.393
La4 La 0.825 0.325 0.107
Pm1 Pm 0.067 0.933 0.250
Pm2 Pm 0.105 0.289 0.525
Pm3 Pm 0.289 0.105 0.025
Pm4 Pm 0.319 0.479 0.349
Pm5 Pm 0.479 0.319 0.849
Pm6 Pm 0.521 0.681 0.151
Pm7 Pm 0.681 0.521 0.651
Pm8 Pm 0.711 0.895 0.975
Pm9 Pm 0.895 0.711 0.475
Pm10 Pm 0.933 0.067 0.750
Sm1 Sm 0.000 0.500 0.000
Sm2 Sm 0.500 0.000 0.500
```

No. 11
The following is a PBE-GGA calculation of an optimized crystal structure of OsPb2W, from Alexandria.

Output
offset from the most stable computed form = 846 meV per atom
DOS at the Fermi energy = 8.25 states/eV per cell
SG = No. 119

Cell and atoms, written as CIF:
```
data_OsPb2W
_chemical_formula_sum 'Os2 Pb4 W2'
_cell_length_a 4.861
_cell_length_b 4.861
_cell_length_c 6.826
_cell_angle_alpha 90.00
_cell_angle_beta 90.00
_cell_angle_gamma 90.00
_symmetry_space_group_name_H-M 'P 1'
_symmetry_Int_Tables_number 1
loop_
_symmetry_equiv_pos_as_xyz
'x,y,z'
loop_
_atom_site_label
_atom_site_type_symbol
_atom_site_fract_x
_atom_site_fract_y
_atom_site_fract_z
Os1 Os 0.000 0.000 0.000
Os2 Os 0.500 0.500 0.500
Pb1 Pb 0.000 0.000 0.500
Pb2 Pb 0.000 0.500 0.250
Pb3 Pb 0.500 0.000 0.750
Pb4 Pb 0.500 0.500 0.000
W1 W 0.000 0.500 0.750
W2 W 0.500 0.000 0.250
```

No. 12
The following is a PBE-GGA calculation of an optimized crystal structure of NaVBi2, from Alexandria.

Output
offset from the most stable computed form = 402 meV per atom
DOS at the Fermi energy = 6.69 states/eV per cell
SG = No. 122

Cell and atoms, written as CIF:
```
data_NaVBi2
_chemical_formula_sum 'Na4 V4 Bi8'
_cell_length_a 6.898
_cell_length_b 6.898
_cell_length_c 12.986
_cell_angle_alpha 90.00
_cell_angle_beta 90.00
_cell_angle_gamma 90.00
_symmetry_space_group_name_H-M 'P 1'
_symmetry_Int_Tables_number 1
loop_
_symmetry_equiv_pos_as_xyz
'x,y,z'
loop_
_atom_site_label
_atom_site_type_symbol
_atom_site_fract_x
_atom_site_fract_y
_atom_site_fract_z
Na1 Na 0.000 0.000 0.000
Na2 Na 0.000 0.500 0.250
Na3 Na 0.500 0.000 0.750
Na4 Na 0.500 0.500 0.500
V1 V 0.000 0.000 0.500
V2 V 0.000 0.500 0.750
V3 V 0.500 0.000 0.250
V4 V 0.500 0.500 0.000
Bi1 Bi 0.157 0.250 0.625
Bi2 Bi 0.250 0.657 0.875
Bi3 Bi 0.250 0.843 0.375
Bi4 Bi 0.343 0.250 0.125
Bi5 Bi 0.657 0.750 0.125
Bi6 Bi 0.750 0.157 0.375
Bi7 Bi 0.750 0.343 0.875
Bi8 Bi 0.843 0.750 0.625
```

| no. | V (Å³ per cell) | magnetic moment (Bohr magnetons per cell) |
| --- | --- | --- |
| 1 | 88.2 | 0.00 |
| 2 | 487.7 | 0.00 |
| 3 | 223.1 | 0.00 |
| 4 | 2308.2 | 20.81 |
| 5 | 289.3 | 1.38 |
| 6 | 529.8 | 0.00 |
| 7 | 394.2 | 10.00 |
| 8 | 394.3 | 0.00 |
| 9 | 273.5 | 0.00 |
| 10 | 559.9 | 0.00 |
| 11 | 161.3 | 0.00 |
| 12 | 617.9 | 0.22 |